This record from Alexandria via LeMat-Bulk describes crystalline ZrAuBr2 at its relaxed geometry. The functional is PBE-GGA.

Cell lengths 3.566, 3.993, 8.413 Å; angles 76.40, 90.00, 90.00 degrees
Each line ends with the local moment (μB).
Atoms (fractional coordinates):
1 Br 0.500 0.401 0.320  0.00
2 Br 0.000 0.114 0.900  0.01
3 Au 0.500 0.709 0.708  0.05
4 Zr 0.000 0.276 0.572  0.31

Output
Density in g/cm3: 6.39
Total magnetic moment in μB per atom: 0.1369
ΔE to the lowest computed polymorph in eV per atom: 0.006
Density of states at the Fermi level in states/eV per cell: 2.05
Calculated volume in Å³/atom: 29.11
Formation energy from raw total energies in eV/atom: -0.76